Record 1
{
  "formula": "VAg2Pd9",
  "functional": "PBE",
  "state": "optimized geometry",
  "lattice_angstrom": [[3.958, 0.000, 0.000], [0.000, 3.958, 0.000], [0.000, 0.000, 11.887]],
  "species": ["Ag", "Ag", "Pd", "Pd", "Pd", "Pd", "Pd", "Pd", "Pd", "Pd", "Pd", "V"],
  "fractional_positions": [[0.000, 0.000, 0.330], [0.000, 0.000, 0.670], [0.500, 0.000, 0.155], [0.500, 0.500, 0.327], [0.000, 0.500, 0.500], [0.500, 0.000, 0.500], [0.500, 0.500, 0.000], [0.000, 0.500, 0.155], [0.500, 0.500, 0.673], [0.000, 0.500, 0.845], [0.500, 0.000, 0.845], [0.000, 0.000, 0.000]],
  "spacegroup": "P4/mmm",
  "total_energy_ev_per_atom": -5.231,
  "formation_enthalpy_0k_mev_per_atom": -101
}

=====

Record 2
{
  "formula": "CaTlCr2",
  "functional": "PBE",
  "state": "optimized geometry",
  "lattice_angstrom": [[-3.014, 7.942, -5.074], [-5.723, 5.933, -5.473], [-5.417, 7.836, -2.676]],
  "species": ["Ca", "Cr", "Cr", "Tl"],
  "fractional_positions": [[0.750, 0.750, 0.750], [0.993, 0.993, 0.993], [0.507, 0.507, 0.507], [0.250, 0.250, 0.250]],
  "spacegroup": "R-3m",
  "total_energy_ev_per_atom": -5.086,
  "formation_enthalpy_0k_mev_per_atom": 818
}

=====

Record 3
{
  "formula": "Ba2SrCd",
  "functional": "PBE",
  "state": "optimized geometry",
  "lattice_angstrom": [[-6.531, -2.973, -0.678], [-0.863, -3.824, -6.048], [4.970, 0.179, 5.217]],
  "species": ["Ba", "Ba", "Sr", "Cd"],
  "fractional_positions": [[0.250, 0.750, 0.500], [0.000, 0.000, 0.000], [0.750, 0.250, 0.500], [0.500, 0.500, 0.000]],
  "spacegroup": "I-4m2",
  "total_energy_ev_per_atom": -1.618,
  "formation_enthalpy_0k_mev_per_atom": -8
}